Ca2AlVO5: relaxed, PBE with a Hubbard U.

a b c (Å): 8.2213 8.2213 8.2213
angles (deg): 57.25 139.39 141.43
Element x y z (fractional)
Ca  0.0320  0.1105  0.1425
Ca  0.0320  0.3895  0.4216
Ca  0.9680  0.6105  0.5784
Ca  0.9680  0.8895  0.8575
Al  0.4567  0.7824  0.1743
Al  0.6082  0.2824  0.8257
V  0.4880  0.4880  0.0000
V  0.4880  0.9880  0.5000
O  0.0111  0.6102  0.9009
O  0.3920  0.1129  0.5722
O  0.3920  0.3198  0.7791
O  0.4926  0.2228  0.2351
O  0.4926  0.7575  0.7698
O  0.5407  0.6129  0.2209
O  0.5407  0.8198  0.4278
O  0.7093  0.1102  0.0991
O  0.9878  0.2575  0.7649
O  0.9878  0.7228  0.2302

Calculated values
**Energy**: -129.95 eV/cell
**Space-group type**: No. 46


CaAlV2O8: relaxed, PBE with a Hubbard U.

a b c (Å): 5.7679 5.7679 5.7679
angles (deg): 107.19 107.19 114.13
Element x y z (fractional)
Ca  0.0000  0.0000  0.0000
Al  0.7500  0.2500  0.5000
V  0.2500  0.7500  0.5000
V  0.5000  0.5000  0.0000
O  0.0634  0.3789  0.3154
O  0.0634  0.7480  0.6846
O  0.1273  0.3392  0.7882
O  0.2520  0.9366  0.3154
O  0.5510  0.3392  0.2118
O  0.6211  0.9366  0.6846
O  0.6608  0.4490  0.7882
O  0.6608  0.8727  0.2118

Calculated values
**Energy**: -83.92 eV/cell
**Space-group type**: No. 119
**Fermi-level density of states**: 7.2 states/eV/cell


Ca2AlWO5: relaxed, PBE with a Hubbard U.

a b c (Å): 8.2955 8.2955 8.2955
angles (deg): 58.82 138.29 140.46
Element x y z (fractional)
Ca  0.0197  0.1150  0.1348
Ca  0.0197  0.3850  0.4047
Ca  0.9803  0.6150  0.5953
Ca  0.9803  0.8850  0.8652
Al  0.3941  0.7161  0.1781
Al  0.5380  0.2161  0.8219
W  0.5093  0.0093  0.5000
W  0.5093  0.5093  0.0000
O  0.0096  0.2928  0.7904
O  0.0096  0.7193  0.2168
O  0.3192  0.9000  0.9192
O  0.4302  0.1703  0.5586
O  0.4302  0.3715  0.7598
O  0.5024  0.2193  0.2096
O  0.5024  0.7928  0.7832
O  0.6117  0.6703  0.2402
O  0.6117  0.8715  0.4414
O  0.9809  0.4000  0.0808

Calculated values
**Energy**: -125.94 eV/cell
**Space-group type**: No. 46


energy of number 3 (Ca2AlWO5)? -125.94 eV/cell


Which formula does entry 3 have? Ca2AlWO5


What is the energy in the first record? -129.95 eV/cell